Computed, not measured: crystalline Nd2CuRu at its relaxed geometry at the PBEsol level of DFT.

Computed properties:
The calculation puts the calculated formation energy at -107 meV per atom.

Cell lengths 6.974, 6.974, 6.974 Å; angles 90.00, 90.00, 90.00 degrees
Positions (direct):
Nd1 0.250 0.250 0.250
Nd2 0.250 0.250 0.750
Nd3 0.250 0.750 0.250
Nd4 0.250 0.750 0.750
Nd5 0.750 0.250 0.250
Nd6 0.750 0.250 0.750
Nd7 0.750 0.750 0.250
Nd8 0.750 0.750 0.750
Cu1 0.000 0.000 0.000
Cu2 0.000 0.500 0.500
Cu3 0.500 0.000 0.500
Cu4 0.500 0.500 0.000
Ru1 0.000 0.000 0.500
Ru2 0.000 0.500 0.000
Ru3 0.500 0.000 0.000
Ru4 0.500 0.500 0.500

---

Computed, not measured: crystalline TaPt2SeI at its relaxed geometry at the PBEsol level of DFT.

Computed properties:
For the formation energy from raw total energies, the calculation gives 129.0 kJ/mol of atoms.

Cell lengths 4.612, 4.612, 5.321 Å; angles 90.00, 90.00, 90.00 degrees
Positions (direct):
Ta1 0.000 0.000 0.000
Pt1 0.000 0.500 0.500
Pt2 0.500 0.000 0.500
Se1 0.500 0.500 0.500
I1 0.500 0.500 0.000

---

Computed, not measured: crystalline Mn3Tc at its relaxed geometry at the PBEsol level of DFT.

Computed properties:
The calculation puts the calculated formation energy at 162 meV per atom.

Cell lengths 5.709, 5.709, 5.709 Å; angles 90.00, 90.00, 90.00 degrees
Positions (direct):
Mn1 0.000 0.000 0.000
Mn2 0.000 0.500 0.500
Mn3 0.250 0.250 0.250
Mn4 0.250 0.250 0.750
Mn5 0.250 0.750 0.250
Mn6 0.250 0.750 0.750
Mn7 0.500 0.000 0.500
Mn8 0.500 0.500 0.000
Mn9 0.750 0.250 0.250
Mn10 0.750 0.250 0.750
Mn11 0.750 0.750 0.250
Mn12 0.750 0.750 0.750
Tc1 0.000 0.000 0.500
Tc2 0.000 0.500 0.000
Tc3 0.500 0.000 0.000
Tc4 0.500 0.500 0.500

---

Computed, not measured: crystalline CrNiPCl2 at its relaxed geometry at the PBEsol level of DFT.

Computed properties:
For the formation energy from raw total energies, the calculation gives 48.5 kJ/mol of atoms.

Cell lengths 4.502, 4.502, 4.751 Å; angles 90.00, 90.00, 90.00 degrees
Positions (direct):
Cr1 0.000 0.000 0.000
Ni1 0.500 0.500 0.500
P1 0.000 0.000 0.500
Cl1 0.000 0.500 0.000
Cl2 0.500 0.000 0.000

---

Computed, not measured: crystalline BiSCl2 at its relaxed geometry at the PBEsol level of DFT.

Computed properties:
For the formation energy from raw total energies, the calculation gives 1.7 kJ/mol of atoms.

Cell lengths 6.901, 6.901, 6.901 Å; angles 90.00, 90.00, 90.00 degrees
Positions (direct):
Bi1 0.000 0.000 0.000
Bi2 0.000 0.500 0.500
Bi3 0.500 0.000 0.500
Bi4 0.500 0.500 0.000
S1 0.000 0.000 0.500
S2 0.000 0.500 0.000
S3 0.500 0.000 0.000
S4 0.500 0.500 0.500
Cl1 0.250 0.250 0.250
Cl2 0.250 0.250 0.750
Cl3 0.250 0.750 0.250
Cl4 0.250 0.750 0.750
Cl5 0.750 0.250 0.250
Cl6 0.750 0.250 0.750
Cl7 0.750 0.750 0.250
Cl8 0.750 0.750 0.750

---

Computed, not measured: crystalline ThGe2 at its relaxed geometry at the PBEsol level of DFT.

Computed properties:
The calculation puts the calculated formation energy at -645 meV per atom.

Cell lengths 4.115, 16.761, 3.964 Å; angles 90.00, 90.00, 90.00 degrees
Positions (direct):
Th1 0.000 0.107 0.250
Th2 0.000 0.893 0.750
Th3 0.500 0.393 0.750
Th4 0.500 0.607 0.250
Ge1 0.000 0.251 0.750
Ge2 0.000 0.452 0.250
Ge3 0.000 0.548 0.750
Ge4 0.000 0.749 0.250
Ge5 0.500 0.048 0.750
Ge6 0.500 0.249 0.250
Ge7 0.500 0.751 0.750
Ge8 0.500 0.952 0.250

---

Computed, not measured: crystalline Ba2Li2As at its relaxed geometry at the PBEsol level of DFT.

Computed properties:
The calculation puts the calculated formation energy at -423 meV per atom. Its offset from the most stable computed form is 0 meV per atom.

Cell lengths 4.059, 4.059, 20.428 Å; angles 90.00, 90.00, 90.00 degrees
Positions (direct):
Ba1 0.000 0.000 0.083
Ba2 0.000 0.000 0.917
Ba3 0.500 0.500 0.417
Ba4 0.500 0.500 0.583
Li1 0.000 0.500 0.250
Li2 0.000 0.500 0.750
Li3 0.500 0.000 0.250
Li4 0.500 0.000 0.750
As1 0.000 0.000 0.500
As2 0.500 0.500 0.000

---

Computed, not measured: crystalline SrFeSe2 at its relaxed geometry at the PBEsol level of DFT.

Computed properties:
For the formation energy from raw total energies, the calculation gives -62.9 kJ/mol of atoms. Its offset from the most stable computed form is 178 meV per atom.

Cell lengths 4.036, 4.036, 6.124 Å; angles 90.00, 90.00, 90.00 degrees
Positions (direct):
Sr1 0.000 0.000 0.000
Fe1 0.500 0.500 0.534
Se1 0.000 0.000 0.488
Se2 0.500 0.500 0.926

---

Computed, not measured: crystalline KTaCSe2 at its relaxed geometry at the PBEsol level of DFT.

Computed properties:
For the formation energy from raw total energies, the calculation gives 127.4 kJ/mol of atoms.

Cell lengths 4.876, 4.876, 7.635 Å; angles 90.00, 90.00, 90.00 degrees
Positions (direct):
K1 0.000 0.000 0.000
Ta1 0.000 0.000 0.500
C1 0.500 0.500 0.000
Se1 0.000 0.500 0.500
Se2 0.500 0.000 0.500

---

Computed, not measured: crystalline InFePb2 at its relaxed geometry at the PBEsol level of DFT.

Computed properties:
The calculation puts the calculated formation energy at 543 meV per atom. Its offset from the most stable computed form is 264 meV per atom.

Cell lengths 4.805, 4.805, 4.032 Å; angles 90.00, 90.00, 90.00 degrees
Positions (direct):
In1 0.000 0.000 0.000
Fe1 0.500 0.500 0.000
Pb1 0.000 0.500 0.500
Pb2 0.500 0.000 0.500

---

Computed, not measured: crystalline MnPSe2 at its relaxed geometry at the PBEsol level of DFT.

Computed properties:
For the formation energy from raw total energies, the calculation gives 24.8 kJ/mol of atoms.

Cell lengths 5.210, 5.210, 13.586 Å; angles 90.00, 90.00, 90.00 degrees
Positions (direct):
Mn1 0.000 0.000 0.000
Mn2 0.000 0.500 0.250
Mn3 0.500 0.000 0.750
Mn4 0.500 0.500 0.500
P1 0.000 0.000 0.500
P2 0.000 0.500 0.750
P3 0.500 0.000 0.250
P4 0.500 0.500 0.000
Se1 0.242 0.250 0.625
Se2 0.250 0.742 0.875
Se3 0.250 0.758 0.375
Se4 0.258 0.250 0.125
Se5 0.742 0.750 0.125
Se6 0.750 0.242 0.375
Se7 0.750 0.258 0.875
Se8 0.758 0.750 0.625

---

Computed, not measured: crystalline Cd2Ge2Au at its relaxed geometry at the PBEsol level of DFT.

Computed properties:
The calculation puts the calculated formation energy at 364 meV per atom.

Cell lengths 4.174, 4.174, 12.011 Å; angles 90.00, 90.00, 90.00 degrees
Positions (direct):
Cd1 0.000 0.500 0.250
Cd2 0.000 0.500 0.750
Cd3 0.500 0.000 0.250
Cd4 0.500 0.000 0.750
Ge1 0.000 0.000 0.099
Ge2 0.000 0.000 0.901
Ge3 0.500 0.500 0.401
Ge4 0.500 0.500 0.599
Au1 0.000 0.000 0.500
Au2 0.500 0.500 0.000

---

Computed, not measured: crystalline BeCu5 at its relaxed geometry at the PBEsol level of DFT.

Computed properties:
The calculation puts the calculated formation energy at -31 meV per atom. Its offset from the most stable computed form is 0 meV per atom.

Cell lengths 2.539, 2.539, 9.926 Å; angles 90.00, 90.00, 90.00 degrees
Positions (direct):
Be1 0.000 0.000 0.000
Cu1 0.000 0.000 0.322
Cu2 0.000 0.000 0.678
Cu3 0.500 0.500 0.143
Cu4 0.500 0.500 0.500
Cu5 0.500 0.500 0.857

---

Computed, not measured: crystalline Ga3ReHg at its relaxed geometry at the PBEsol level of DFT.

Computed properties:
The calculation puts the calculated formation energy at 335 meV per atom.

Cell lengths 4.831, 4.831, 4.831 Å; angles 90.00, 90.00, 90.00 degrees
Positions (direct):
Ga1 0.000 0.000 0.500
Ga2 0.000 0.500 0.000
Ga3 0.500 0.000 0.000
Re1 0.000 0.000 0.000
Hg1 0.500 0.500 0.500

---

Computed, not measured: crystalline AlTcRu2 at its relaxed geometry at the PBEsol level of DFT.

Computed properties:
The calculation puts the calculated formation energy at -119 meV per atom. Its offset from the most stable computed form is 167 meV per atom.

Cell lengths 4.309, 4.309, 2.922 Å; angles 90.00, 90.00, 90.00 degrees
Positions (direct):
Al1 0.000 0.000 0.000
Tc1 0.500 0.500 0.000
Ru1 0.000 0.500 0.500
Ru2 0.500 0.000 0.500

---

Computed, not measured: crystalline CuRh2 at its relaxed geometry at the PBEsol level of DFT.

Computed properties:
The calculation puts the calculated formation energy at 112 meV per atom. Its offset from the most stable computed form is 57 meV per atom.

Cell lengths 5.289, 3.702, 7.923 Å; angles 90.00, 90.00, 90.00 degrees
Positions (direct):
Cu1 0.117 0.250 0.081
Cu2 0.383 0.750 0.581
Cu3 0.617 0.250 0.419
Cu4 0.883 0.750 0.919
Rh1 0.124 0.250 0.417
Rh2 0.129 0.250 0.746
Rh3 0.371 0.750 0.246
Rh4 0.376 0.750 0.917
Rh5 0.624 0.250 0.083
Rh6 0.629 0.250 0.754
Rh7 0.871 0.750 0.254
Rh8 0.876 0.750 0.583

---

Computed, not measured: crystalline PrHoZn2 at its relaxed geometry at the PBEsol level of DFT.

Computed properties:
The calculation puts the calculated formation energy at -306 meV per atom.

Cell lengths 7.126, 7.126, 7.126 Å; angles 90.00, 90.00, 90.00 degrees
Positions (direct):
Pr1 0.000 0.000 0.000
Pr2 0.000 0.500 0.500
Pr3 0.500 0.000 0.500
Pr4 0.500 0.500 0.000
Ho1 0.000 0.000 0.500
Ho2 0.000 0.500 0.000
Ho3 0.500 0.000 0.000
Ho4 0.500 0.500 0.500
Zn1 0.250 0.250 0.250
Zn2 0.250 0.250 0.750
Zn3 0.250 0.750 0.250
Zn4 0.250 0.750 0.750
Zn5 0.750 0.250 0.250
Zn6 0.750 0.250 0.750
Zn7 0.750 0.750 0.250
Zn8 0.750 0.750 0.750

---

Computed, not measured: crystalline Sr5Mg at its relaxed geometry at the PBEsol level of DFT.

Computed properties:
The calculation puts the calculated formation energy at 34 meV per atom. Its offset from the most stable computed form is 45 meV per atom.

Cell lengths 5.654, 16.709, 5.829 Å; angles 90.00, 90.00, 90.00 degrees
Positions (direct):
Sr1 0.000 0.000 0.000
Sr2 0.000 0.156 0.500
Sr3 0.000 0.339 0.000
Sr4 0.000 0.661 0.000
Sr5 0.000 0.844 0.500
Sr6 0.500 0.161 0.000
Sr7 0.500 0.344 0.500
Sr8 0.500 0.500 0.000
Sr9 0.500 0.656 0.500
Sr10 0.500 0.839 0.000
Mg1 0.000 0.500 0.500
Mg2 0.500 0.000 0.500

---

Computed, not measured: crystalline K4VP2S9 at its relaxed geometry at the PBEsol level of DFT.

Computed properties:
For the formation energy from raw total energies, the calculation gives -87.1 kJ/mol of atoms.

Cell lengths 19.108, 6.715, 12.792 Å; angles 90.00, 90.00, 90.00 degrees
Positions (direct):
K1 0.034 0.242 0.000
K2 0.068 0.752 0.796
K3 0.181 0.747 0.347
K4 0.216 0.253 0.142
K5 0.284 0.753 0.642
K6 0.319 0.247 0.847
K7 0.432 0.252 0.296
K8 0.466 0.742 0.500
K9 0.534 0.258 0.000
K10 0.568 0.748 0.796
K11 0.681 0.753 0.347
K12 0.716 0.247 0.142
K13 0.784 0.747 0.642
K14 0.819 0.253 0.847
K15 0.932 0.248 0.296
K16 0.966 0.758 0.500
V1 0.125 0.140 0.571
V2 0.375 0.640 0.071
V3 0.625 0.360 0.571
V4 0.875 0.860 0.071
P1 0.019 0.750 0.172
P2 0.231 0.747 0.970
P3 0.269 0.247 0.470
P4 0.481 0.250 0.672
P5 0.519 0.750 0.172
P6 0.731 0.753 0.970
P7 0.769 0.253 0.470
P8 0.981 0.250 0.672
S1 0.015 0.246 0.515
S2 0.066 0.495 0.212
S3 0.070 0.998 0.215
S4 0.083 0.246 0.734
S5 0.125 0.826 0.571
S6 0.167 0.244 0.409
S7 0.181 0.499 0.927
S8 0.183 0.001 0.930
S9 0.236 0.244 0.627
S10 0.264 0.744 0.127
S11 0.317 0.501 0.430
S12 0.319 0.999 0.427
S13 0.333 0.744 0.909
S14 0.375 0.326 0.071
S15 0.417 0.746 0.234
S16 0.430 0.498 0.715
S17 0.434 0.995 0.712
S18 0.485 0.746 0.015
S19 0.515 0.254 0.515
S20 0.566 0.005 0.212
S21 0.570 0.502 0.215
S22 0.583 0.254 0.734
S23 0.625 0.674 0.571
S24 0.667 0.256 0.409
S25 0.681 0.001 0.927
S26 0.683 0.499 0.930
S27 0.736 0.256 0.627
S28 0.764 0.756 0.127
S29 0.817 0.999 0.430
S30 0.819 0.501 0.427
S31 0.833 0.756 0.909
S32 0.875 0.174 0.071
S33 0.917 0.754 0.234
S34 0.930 0.002 0.715
S35 0.934 0.505 0.712
S36 0.985 0.754 0.015

---

Computed, not measured: crystalline Ca3Ga4Ni4 at its relaxed geometry at the PBEsol level of DFT.

Computed properties:
The calculation puts the calculated formation energy at -505 meV per atom.

Cell lengths 6.310, 6.310, 6.310 Å; angles 109.47, 109.47, 109.47 degrees
Positions (direct):
Ca1 0.000 0.500 0.500
Ca2 0.500 0.000 0.500
Ca3 0.500 0.500 0.000
Ga1 0.000 0.000 0.391
Ga2 0.000 0.391 0.000
Ga3 0.391 0.000 0.000
Ga4 0.609 0.609 0.609
Ni1 0.000 0.000 0.756
Ni2 0.000 0.756 0.000
Ni3 0.244 0.244 0.244
Ni4 0.756 0.000 0.000

---

Computed, not measured: crystalline LiNi2Pt at its relaxed geometry at the PBEsol level of DFT.

Computed properties:
The calculation puts the calculated formation energy at -114 meV per atom.

Cell lengths 4.247, 4.247, 2.655 Å; angles 90.00, 90.00, 90.00 degrees
Positions (direct):
Li1 0.000 0.000 0.000
Ni1 0.000 0.500 0.500
Ni2 0.500 0.000 0.500
Pt1 0.500 0.500 0.000

---

Computed, not measured: crystalline SiRhO3 at its relaxed geometry at the PBEsol level of DFT.

Computed properties:
For the formation energy from raw total energies, the calculation gives -107.3 kJ/mol of atoms.

Cell lengths 3.557, 3.557, 3.557 Å; angles 90.00, 90.00, 90.00 degrees
Positions (direct):
Si1 0.000 0.000 0.000
Rh1 0.500 0.500 0.500
O1 0.000 0.000 0.500
O2 0.000 0.500 0.000
O3 0.500 0.000 0.000

---

Computed, not measured: crystalline IrW2Br at its relaxed geometry at the PBEsol level of DFT.

Computed properties:
For the formation energy from raw total energies, the calculation gives 90.9 kJ/mol of atoms. Its offset from the most stable computed form is 459 meV per atom.

Cell lengths 5.362, 8.554, 2.846 Å; angles 90.00, 105.17, 90.00 degrees
Positions (direct):
Ir1 0.000 0.000 0.000
Ir2 0.500 0.500 0.000
W1 0.250 0.250 0.500
W2 0.250 0.750 0.500
W3 0.750 0.250 0.500
W4 0.750 0.750 0.500
Br1 0.000 0.500 0.000
Br2 0.500 0.000 0.000

---

Computed, not measured: crystalline CsZnSb3 at its relaxed geometry at the PBEsol level of DFT.

Computed properties:
For the formation energy from raw total energies, the calculation gives 16.0 kJ/mol of atoms.

Cell lengths 5.382, 5.382, 5.382 Å; angles 90.00, 90.00, 90.00 degrees
Positions (direct):
Cs1 0.000 0.000 0.000
Zn1 0.500 0.500 0.500
Sb1 0.000 0.500 0.500
Sb2 0.500 0.000 0.500
Sb3 0.500 0.500 0.000

---

Computed, not measured: crystalline NiTe2Cl at its relaxed geometry at the PBEsol level of DFT.

Computed properties:
For the formation energy from raw total energies, the calculation gives -35.9 kJ/mol of atoms.

Cell lengths 6.603, 3.816, 7.328 Å; angles 90.00, 107.39, 90.00 degrees
Positions (direct):
Ni1 0.000 0.000 0.000
Ni2 0.500 0.500 0.000
Te1 0.226 0.500 0.178
Te2 0.274 0.000 0.822
Te3 0.726 0.000 0.178
Te4 0.774 0.500 0.822
Cl1 0.000 0.500 0.500
Cl2 0.500 0.000 0.500